Entry from Alexandria via LeMat-Bulk: a geometry-optimized LiTiAlFe structure (GGA-PBE).

The structure in CIF format:
```
data_LiTiAlFe
_chemical_formula_sum 'Li4 Ti4 Al4 Fe4'
_cell_length_a 5.9375
_cell_length_b 5.9375
_cell_length_c 5.9375
_cell_angle_alpha 90.00
_cell_angle_beta 90.00
_cell_angle_gamma 90.00
_space_group_name_H-M_alt 'F -4 3 m'
_space_group_IT_number 216
_space_group_name_Hall 'F -4 2 3'
loop_
_atom_site_label
_atom_site_type_symbol
_atom_site_fract_x
_atom_site_fract_y
_atom_site_fract_z
_atom_site_occupancy
Li1 Li 0.0000 0.0000 0.0000 1
Ti1 Ti 0.2500 0.2500 0.2500 1
Al1 Al 0.2500 0.2500 0.7500 1
Fe1 Fe 0.0000 0.0000 0.5000 1
```

Summary:
**Energy of formation from the pure elements**: -77 kJ/mol of formula units
**Energy**: -5.702 eV/atom


Entry from Alexandria via LeMat-Bulk: a geometry-optimized K2BP structure (GGA-PBE).

The structure in CIF format:
```
data_K2BP
_chemical_formula_sum 'K8 B4 P4'
_cell_length_a 4.4828
_cell_length_b 4.4828
_cell_length_c 21.0163
_cell_angle_alpha 90.00
_cell_angle_beta 90.00
_cell_angle_gamma 90.00
_space_group_name_H-M_alt 'I -4 2 d'
_space_group_IT_number 122
_space_group_name_Hall 'I -4 2bw'
loop_
_atom_site_label
_atom_site_type_symbol
_atom_site_fract_x
_atom_site_fract_y
_atom_site_fract_z
_atom_site_occupancy
K1 K 0.2361 0.2500 0.1250 1
B1 B 0.0000 0.0000 0.0000 1
P1 P 0.0000 0.0000 0.5000 1
```

Summary:
**E above lowest polymorph**: 252 meV per atom
**Energy of formation from the pure elements**: 492 kJ/mol of formula units
**Energy**: -2.296 eV/atom


Entry from Alexandria via LeMat-Bulk: a geometry-optimized AcCuH structure (GGA-PBE).

The structure in CIF format:
```
data_AcCuH
_chemical_formula_sum 'Ac2 Cu2 H2'
_cell_length_a 3.9378
_cell_length_b 3.9378
_cell_length_c 8.5913
_cell_angle_alpha 90.00
_cell_angle_beta 90.00
_cell_angle_gamma 90.00
_space_group_name_H-M_alt 'I 4 m m'
_space_group_IT_number 107
_space_group_name_Hall 'I 4 -2'
loop_
_atom_site_label
_atom_site_type_symbol
_atom_site_fract_x
_atom_site_fract_y
_atom_site_fract_z
_atom_site_occupancy
Ac1 Ac 0.0000 0.0000 0.0000 1
Cu1 Cu 0.0000 0.0000 0.6502 1
H1 H 0.0000 0.0000 0.4544 1
```

Summary:
**Energy**: -3.852 eV/atom


Entry from Alexandria via LeMat-Bulk: a geometry-optimized Nd6TlNi2I3 structure (GGA-PBE).

The structure in CIF format:
```
data_Nd6TlNi2I3
_chemical_formula_sum 'Nd12 Tl2 Ni4 I6'
_cell_length_a 20.1623
_cell_length_b 4.1346
_cell_length_c 9.6232
_cell_angle_alpha 90.00
_cell_angle_beta 108.49
_cell_angle_gamma 90.00
_space_group_name_H-M_alt 'C 1 2/m 1'
_space_group_IT_number 12
loop_
_space_group_symop_operation_xyz
'x,y,z'
'-x,-y,-z'
'-x,y,-z'
'x,-y,z'
'x+1/2,y+1/2,z'
'-x+1/2,-y+1/2,-z'
'-x+1/2,y+1/2,-z'
'x+1/2,-y+1/2,z'
loop_
_atom_site_label
_atom_site_type_symbol
_atom_site_fract_x
_atom_site_fract_y
_atom_site_fract_z
_atom_site_occupancy
Nd1 Nd 0.0237 0.0000 0.2565 1
Nd2 Nd 0.1652 0.5000 0.1447 1
Nd3 Nd 0.1813 0.5000 0.5513 1
Tl1 Tl 0.0000 0.5000 0.0000 1
Ni1 Ni 0.1706 0.0000 0.3466 1
I1 I 0.0000 0.5000 0.5000 1
I2 I 0.1614 0.0000 0.8374 1
```

Summary:
**Energy**: -4.555 eV/atom
**E_form (uncorrected)**: -0.62 eV per atom


Entry from Alexandria via LeMat-Bulk: a geometry-optimized Rb2TmSi2O6 structure (GGA-PBE).

The structure in CIF format:
```
data_Rb2TmSi2O6
_chemical_formula_sum 'Rb6 Tm3 Si6 O18'
_cell_length_a 5.8995
_cell_length_b 5.8995
_cell_length_c 17.6821
_cell_angle_alpha 90.00
_cell_angle_beta 90.00
_cell_angle_gamma 120.00
_space_group_name_H-M_alt 'R -3 m'
_space_group_IT_number 166
_space_group_name_Hall '-R 3 2"'
loop_
_atom_site_label
_atom_site_type_symbol
_atom_site_fract_x
_atom_site_fract_y
_atom_site_fract_z
_atom_site_occupancy
Rb1 Rb 0.0000 0.0000 0.2182 1
Tm1 Tm 0.0000 0.0000 0.0000 1
Si1 Si 0.0000 0.0000 0.4254 1
O1 O 0.0228 0.5114 0.2595 1
```

Summary:
**Energy**: -6.835 eV/atom
**E_form (uncorrected)**: -2.56 eV per atom


Entry from Alexandria via LeMat-Bulk: a geometry-optimized PmMnCoSi3 structure (GGA-PBE).

The structure in CIF format:
```
data_PmMnCoSi3
_chemical_formula_sum 'Pm4 Mn4 Co4 Si12'
_cell_length_a 5.9579
_cell_length_b 11.3230
_cell_length_c 5.9570
_cell_angle_alpha 90.00
_cell_angle_beta 90.00
_cell_angle_gamma 90.00
_space_group_name_H-M_alt 'C m c m'
_space_group_IT_number 63
_space_group_name_Hall '-C 2c 2'
loop_
_atom_site_label
_atom_site_type_symbol
_atom_site_fract_x
_atom_site_fract_y
_atom_site_fract_z
_atom_site_occupancy
Pm1 Pm 0.0000 0.2481 0.2500 1
Mn1 Mn 0.0000 0.0251 0.7500 1
Co1 Co 0.0000 0.3984 0.7500 1
Si1 Si 0.0000 0.2123 0.7500 1
Si2 Si 0.2086 0.5000 0.0000 1
```

Summary:
**Energy**: -6.573 eV/atom
**E_form (uncorrected)**: -0.36 eV per atom


Entry from Alexandria via LeMat-Bulk: a geometry-optimized CaIn7Ni5 structure (GGA-PBE).

The structure in CIF format:
```
data_CaIn7Ni5
_chemical_formula_sum 'Ca2 In14 Ni10'
_cell_length_a 5.4718
_cell_length_b 9.3436
_cell_length_c 9.2797
_cell_angle_alpha 90.00
_cell_angle_beta 90.00
_cell_angle_gamma 90.00
_space_group_name_H-M_alt 'I m m 2'
_space_group_IT_number 44
loop_
_space_group_symop_operation_xyz
'x,y,z'
'-x,-y,z'
'-x,y,z'
'x,-y,z'
'x+1/2,y+1/2,z+1/2'
'-x+1/2,-y+1/2,z+1/2'
'-x+1/2,y+1/2,z+1/2'
'x+1/2,-y+1/2,z+1/2'
loop_
_atom_site_label
_atom_site_type_symbol
_atom_site_fract_x
_atom_site_fract_y
_atom_site_fract_z
_atom_site_occupancy
Ca1 Ca 0.0000 0.0000 0.0000 1
In1 In 0.0000 0.0000 0.3261 1
In2 In 0.0000 0.0000 0.6564 1
In3 In 0.0000 0.3067 0.5199 1
In4 In 0.0000 0.3364 0.9807 1
In5 In 0.0000 0.5000 0.2699 1
Ni1 Ni 0.0000 0.5000 0.7387 1
Ni2 Ni 0.2414 0.2533 0.2517 1
```

Summary:
**Energy of formation from the pure elements**: -197 kJ/mol of formula units
**Energy**: -4.009 eV/atom


Entry from Alexandria via LeMat-Bulk: a geometry-optimized Ho3ErH8 structure (GGA-PBE).

The structure in CIF format:
```
data_Ho3ErH8
_chemical_formula_sum 'Ho3 Er1 H8'
_cell_length_a 5.1303
_cell_length_b 5.1303
_cell_length_c 5.1303
_cell_angle_alpha 90.00
_cell_angle_beta 90.00
_cell_angle_gamma 90.00
_space_group_name_H-M_alt 'P m -3 m'
_space_group_IT_number 221
_space_group_name_Hall '-P 4 2 3'
loop_
_atom_site_label
_atom_site_type_symbol
_atom_site_fract_x
_atom_site_fract_y
_atom_site_fract_z
_atom_site_occupancy
Ho1 Ho 0.0000 0.0000 0.5000 1
Er1 Er 0.5000 0.5000 0.5000 1
H1 H 0.2508 0.2508 0.2508 1
```

Summary:
**Energy**: -4.481 eV/atom


Entry from Alexandria via LeMat-Bulk: a geometry-optimized ZnCo2Cl structure (GGA-PBE).

The structure in CIF format:
```
data_ZnCo2Cl
_chemical_formula_sum 'Zn2 Co4 Cl2'
_cell_length_a 2.8532
_cell_length_b 5.0169
_cell_length_c 7.8707
_cell_angle_alpha 90.00
_cell_angle_beta 90.00
_cell_angle_gamma 90.00
_space_group_name_H-M_alt 'C m m m'
_space_group_IT_number 65
_space_group_name_Hall '-C 2 2'
loop_
_atom_site_label
_atom_site_type_symbol
_atom_site_fract_x
_atom_site_fract_y
_atom_site_fract_z
_atom_site_occupancy
Zn1 Zn 0.0000 0.0000 0.0000 1
Co1 Co 0.0000 0.5000 0.2592 1
Cl1 Cl 0.0000 0.0000 0.5000 1
```

Summary:
**E above lowest polymorph**: 327 meV per atom
**Energy**: -3.928 eV/atom
**E_form (uncorrected)**: 0.41 eV per atom


Entry from Alexandria via LeMat-Bulk: a geometry-optimized Zr2ReNi structure (GGA-PBE).

The structure in CIF format:
```
data_Zr2ReNi
_chemical_formula_sum 'Zr4 Re2 Ni2'
_cell_length_a 3.9426
_cell_length_b 3.9426
_cell_length_c 9.0231
_cell_angle_alpha 90.00
_cell_angle_beta 90.00
_cell_angle_gamma 90.00
_space_group_name_H-M_alt 'I -4 m 2'
_space_group_IT_number 119
_space_group_name_Hall 'I -4 -2'
loop_
_atom_site_label
_atom_site_type_symbol
_atom_site_fract_x
_atom_site_fract_y
_atom_site_fract_z
_atom_site_occupancy
Zr1 Zr 0.0000 0.0000 0.0000 1
Zr2 Zr 0.0000 0.5000 0.2500 1
Re1 Re 0.0000 0.0000 0.5000 1
Ni1 Ni 0.0000 0.5000 0.7500 1
```

Summary:
**Energy of formation from the pure elements**: -12 kJ/mol of formula units
**Energy**: -8.861 eV/atom


Entry from Alexandria via LeMat-Bulk: a geometry-optimized RbSeNF2 structure (GGA-PBE).

The structure in CIF format:
```
data_RbSeNF2
_chemical_formula_sum 'Rb1 Se1 N1 F2'
_cell_length_a 4.7541
_cell_length_b 4.7541
_cell_length_c 3.6865
_cell_angle_alpha 90.00
_cell_angle_beta 90.00
_cell_angle_gamma 90.00
_space_group_name_H-M_alt 'P 4/m m m'
_space_group_IT_number 123
_space_group_name_Hall '-P 4 2'
loop_
_atom_site_label
_atom_site_type_symbol
_atom_site_fract_x
_atom_site_fract_y
_atom_site_fract_z
_atom_site_occupancy
Rb1 Rb 0.0000 0.0000 0.0000 1
Se1 Se 0.5000 0.5000 0.5000 1
N1 N 0.5000 0.5000 0.0000 1
F1 F 0.0000 0.5000 0.5000 1
```

Summary:
**E above lowest polymorph**: 0 meV per atom
**Energy**: -4.173 eV/atom
**E_form (uncorrected)**: -0.87 eV per atom


Entry from Alexandria via LeMat-Bulk: a geometry-optimized La14CeIn structure (GGA-PBE).

The structure in CIF format:
```
data_La14CeIn
_chemical_formula_sum 'La28 Ce2 In2'
_cell_length_a 10.3994
_cell_length_b 10.3665
_cell_length_c 10.3695
_cell_angle_alpha 90.00
_cell_angle_beta 90.00
_cell_angle_gamma 90.00
_space_group_name_H-M_alt 'A m m 2'
_space_group_IT_number 38
loop_
_space_group_symop_operation_xyz
'x,y,z'
'-x,-y,z'
'-x,y,z'
'x,-y,z'
'x,y+1/2,z+1/2'
'-x,-y+1/2,z+1/2'
'-x,y+1/2,z+1/2'
'x,-y+1/2,z+1/2'
loop_
_atom_site_label
_atom_site_type_symbol
_atom_site_fract_x
_atom_site_fract_y
_atom_site_fract_z
_atom_site_occupancy
La1 La 0.0000 0.0000 0.0000 1
La2 La 0.0000 0.0000 0.4991 1
La3 La 0.0000 0.2485 0.2493 1
La4 La 0.2574 0.0000 0.7459 1
La5 La 0.2595 0.2469 0.4993 1
La6 La 0.2611 0.0000 0.2522 1
La7 La 0.5000 0.2479 0.7499 1
Ce1 Ce 0.5000 0.0000 0.9994 1
In1 In 0.5000 0.0000 0.4995 1
```

Summary:
**Energy of formation from the pure elements**: -73 kJ/mol of formula units
**Energy**: -4.901 eV/atom


Across the entries above, D(E_F) takes the values 0.884, 0.701, 0.530, 0.816, 0.002, 0.720, 0.643, 0.226, 1.592, 1.016, 0.154, 1.662 states/eV/atom, respectively.